[1]
Density functional theory data (PBE-GGA) for a relaxed structure of YFeCoPb.

Its space group is F-43m. For the energy above the lowest structure with this stoichiometry, the calculation gives 0.00 eV per formula unit. The crystal system is cubic.

Cell lengths 4.663, 4.663, 4.663 Å; angles 60.00, 60.00, 60.00 degrees
Element x y z (fractional)
Y (0.000, 0.000, 0.000)
Fe (0.250, 0.250, 0.250)
Co (0.750, 0.750, 0.750)
Pb (0.500, 0.500, 0.500)



[2]
Density functional theory data (PBE-GGA) for a relaxed structure of LuCoAg2.

Its space group is F-43m. The calculated formation energy comes out at 0.02 eV per atom. The crystal system is cubic.

Cell lengths 4.634, 4.634, 4.634 Å; angles 60.00, 60.00, 60.00 degrees
Element x y z (fractional)
Lu (0.000, 0.000, 0.000)
Co (0.250, 0.250, 0.250)
Ag (0.500, 0.500, 0.500)
Ag (0.750, 0.750, 0.750)



[3]
Density functional theory data (PBE-GGA) for a relaxed structure of LuCuSiPd.

Its space group is F-43m. For the energy above the lowest structure with this stoichiometry, the calculation gives 0.24 eV per formula unit. The crystal system is cubic.

Cell lengths 4.507, 4.507, 4.507 Å; angles 60.00, 60.00, 60.00 degrees
Element x y z (fractional)
Lu (0.000, 0.000, 0.000)
Cu (0.250, 0.250, 0.250)
Si (0.750, 0.750, 0.750)
Pd (0.500, 0.500, 0.500)



[4]
Density functional theory data (PBE-GGA) for a relaxed structure of HoZnSn.

Its space group is P6_3/mmc. The crystal system is hexagonal.

Cell lengths 4.493, 4.493, 15.757 Å; angles 90.00, 90.00, 120.00 degrees
Element x y z (fractional)
Ho (0.000, 0.000, 0.000)
Ho (0.000, 0.000, 0.250)
Ho (0.000, 0.000, 0.500)
Ho (0.000, 0.000, 0.750)
Zn (0.333, 0.667, 0.161)
Zn (0.333, 0.667, 0.339)
Zn (0.667, 0.333, 0.661)
Zn (0.667, 0.333, 0.839)
Sn (0.333, 0.667, 0.613)
Sn (0.333, 0.667, 0.887)
Sn (0.667, 0.333, 0.113)
Sn (0.667, 0.333, 0.387)



[5]
Density functional theory data (PBE-GGA) for a relaxed structure of CsYNbTe3.

Its space group is Cmcm. The crystal system is orthorhombic.

Cell lengths 9.053, 9.053, 11.483 Å; angles 90.00, 90.00, 151.79 degrees
Element x y z (fractional)
Cs (0.245, 0.755, 0.750)
Cs (0.755, 0.245, 0.250)
Y (0.500, 0.500, 0.000)
Y (0.500, 0.500, 0.500)
Nb (0.031, 0.969, 0.250)
Nb (0.969, 0.031, 0.750)
Te (0.120, 0.880, 0.053)
Te (0.120, 0.880, 0.447)
Te (0.434, 0.566, 0.250)
Te (0.566, 0.434, 0.750)
Te (0.880, 0.120, 0.553)
Te (0.880, 0.120, 0.947)



[6]
Density functional theory data (PBE-GGA) for a relaxed structure of Zr5Ge4.

Its space group is P4_12_12. For the energy above the lowest structure with this stoichiometry, the calculation gives 0.00 eV per formula unit. The crystal system is tetragonal.

Cell lengths 7.290, 7.290, 13.242 Å; angles 90.00, 90.00, 90.00 degrees
Element x y z (fractional)
Zr (0.002, 0.155, 0.128)
Zr (0.002, 0.656, 0.030)
Zr (0.155, 0.002, 0.872)
Zr (0.156, 0.498, 0.780)
Zr (0.171, 0.829, 0.250)
Zr (0.329, 0.329, 0.000)
Zr (0.344, 0.998, 0.470)
Zr (0.345, 0.502, 0.378)
Zr (0.498, 0.156, 0.220)
Zr (0.498, 0.655, 0.122)
Zr (0.502, 0.345, 0.622)
Zr (0.502, 0.844, 0.720)
Zr (0.655, 0.498, 0.878)
Zr (0.656, 0.002, 0.970)
Zr (0.671, 0.671, 0.500)
Zr (0.829, 0.171, 0.750)
Zr (0.844, 0.502, 0.280)
Zr (0.845, 0.998, 0.372)
Zr (0.998, 0.344, 0.530)
Zr (0.998, 0.845, 0.628)
Ge (0.038, 0.697, 0.434)
Ge (0.140, 0.201, 0.329)
Ge (0.197, 0.462, 0.184)
Ge (0.201, 0.140, 0.671)
Ge (0.299, 0.640, 0.579)
Ge (0.303, 0.962, 0.066)
Ge (0.360, 0.701, 0.921)
Ge (0.462, 0.197, 0.816)
Ge (0.538, 0.803, 0.316)
Ge (0.640, 0.299, 0.421)
Ge (0.697, 0.038, 0.566)
Ge (0.701, 0.360, 0.079)
Ge (0.799, 0.860, 0.171)
Ge (0.803, 0.538, 0.684)
Ge (0.860, 0.799, 0.829)
Ge (0.962, 0.303, 0.934)



Number 1: energy -6.237 eV/atom. Number 2: energy -4.296 eV/atom. Number 3: energy -5.188 eV/atom. Number 4: energy -3.852 eV/atom. Number 5: energy -5.319 eV/atom. Number 6: energy -7.650 eV/atom.